A geometry-optimized MgIn4As structure, computed with PBE-GGA.

Output
Space group ... F-43m (216)
Crystal system ... cubic

Lattice parameters (Å, degrees): 6.097 6.097 6.097 60.00 60.00 60.00
Element x y z (fractional)
In  0.375  0.375  0.876
In  0.876  0.375  0.375
In  0.375  0.375  0.375
In  0.375  0.876  0.375
As  0.000  0.000  0.000
Mg  0.750  0.750  0.750

A geometry-optimized MgInAs structure, computed with PBE-GGA.

Output
Space group ... Imm2 (44)
Offset from the most stable computed form ... 5.22 kcal/mol of atoms
Crystal system ... orthorhombic

Lattice parameters (Å, degrees): 6.356 6.356 6.356 151.47 145.74 45.16
Element x y z (fractional)
In  0.660  0.660  0.000
As  0.980  0.980  0.000
Mg  0.360  0.360  0.000

A geometry-optimized Mg2InAs2 structure, computed with PBE-GGA.

Output
Space group ... P4/mbm (127)
Crystal system ... tetragonal

Lattice parameters (Å, degrees): 8.303 8.303 3.125 90.00 90.00 90.00
Element x y z (fractional)
As  0.160  0.660  0.500
As  0.340  0.160  0.500
As  0.660  0.840  0.500
As  0.840  0.340  0.500
Mg  0.364  0.864  0.000
Mg  0.136  0.364  0.000
Mg  0.864  0.636  0.000
Mg  0.636  0.136  0.000
In  0.000  0.000  0.000
In  0.500  0.500  0.000

A geometry-optimized Mg2InAs2 structure, computed with PBE-GGA.

Output
Space group ... I4/mmm (139)
Crystal system ... tetragonal

Lattice parameters (Å, degrees): 4.597 4.597 6.494 69.27 69.27 90.00
Element x y z (fractional)
In  0.000  0.000  0.000
Mg  0.750  0.250  0.500
Mg  0.250  0.750  0.500
As  0.622  0.622  0.756
As  0.378  0.378  0.244

no.,formation enthalpy at 0 K (meV per atom)
1,260
2,-81
3,-214
4,-266